# PBE-GGA Er2PuAgHg4, optimized geometry
# Energy relative to the elements in eV/atom: -0.26
# Spin magnetization in μB per atom: 0.767
# Calculated total energy in Ry per atom: -0.27213
data_Er2PuAgHg4
_chemical_formula_sum 'Er6 Pu3 Ag3 Hg12'
_symmetry_space_group_name_H-M 'R -3 m'
_symmetry_Int_Tables_number 166
_symmetry_space_group_name_Hall '-R 3 2"'
_cell_length_a 5.1053
_cell_length_b 5.1053
_cell_length_c 25.8637
_cell_angle_alpha 90.00
_cell_angle_beta 90.00
_cell_angle_gamma 120.00
loop_
_atom_site_label
_atom_site_fract_x
_atom_site_fract_y
_atom_site_fract_z
Er1 0.0000 0.0000 0.2443
Pu1 0.0000 0.0000 0.0000
Ag1 0.0000 0.0000 0.5000
Hg1 0.0000 0.0000 0.1254
Hg2 0.0000 0.0000 0.3777